DFT (PBE) results for crystalline ReCl8 at its relaxed geometry.

Cell and atoms, written as POSCAR:
```
ReCl8
1.0
-4.416 4.416 3.963
4.416 -4.416 3.963
4.416 4.416 -3.963
Re Cl
1 8
Cartesian
0.000 0.000 0.000
2.280 0.000 0.000
6.552 0.000 0.000
0.000 2.280 0.000
3.193 3.193 0.000
1.223 -1.223 3.963
-1.223 1.223 3.963
1.223 1.223 3.963
0.000 6.552 0.000
```

Summary:
SG: I4/mmm, No. 139
Crystal system: tetragonal
Uncorrected formation energy, eV/f.u.: 1.3
Total magnetic moment, μB/f.u.: 3.07
V, Å³ per atom: 34.351
Total DFT energy (no corrections), eV per atom: -2.882